This record from Alexandria via LeMat-Bulk describes a geometry-optimized MnInF3 structure. The functional is PBEsol.

## Properties
The value obtained for the formation energy (no corrections) is -9.9 eV/f.u. The total DFT energy (no corrections) comes out at -28.4 eV for the cell shown.

```
data_MnInF3
_chemical_formula_sum 'Mn1 In1 F3'
_space_group_name_H-M_alt 'P m -3 m'
_space_group_IT_number 221
_space_group_name_Hall '-P 4 2 3'
_cell_length_a 4.2102
_cell_length_b 4.2102
_cell_length_c 4.2102
_cell_angle_alpha 90.00
_cell_angle_beta 90.00
_cell_angle_gamma 90.00
loop_
_atom_site_label
_atom_site_fract_x
_atom_site_fract_y
_atom_site_fract_z
Mn1 0.0000 0.0000 0.0000
In1 0.5000 0.5000 0.5000
F1 0.0000 0.0000 0.5000
```

=====

This record from Alexandria via LeMat-Bulk describes a geometry-optimized MnInNF2 structure. The functional is PBEsol.

## Properties
The value obtained for the formation energy (no corrections) is -5.1 eV/f.u. The total DFT energy (no corrections) comes out at -30.2 eV for the cell shown.

```
data_MnInNF2
_chemical_formula_sum 'Mn1 In1 N1 F2'
_space_group_name_H-M_alt 'P 4/m m m'
_space_group_IT_number 123
_space_group_name_Hall '-P 4 2'
_cell_length_a 4.2156
_cell_length_b 4.2156
_cell_length_c 3.6374
_cell_angle_alpha 90.00
_cell_angle_beta 90.00
_cell_angle_gamma 90.00
loop_
_atom_site_label
_atom_site_fract_x
_atom_site_fract_y
_atom_site_fract_z
Mn1 0.0000 0.0000 0.0000
In1 0.5000 0.5000 0.5000
N1 0.0000 0.0000 0.5000
F1 0.0000 0.5000 0.0000
```

=====

This record from Alexandria via LeMat-Bulk describes a geometry-optimized InMo2F structure. The functional is PBEsol.

## Properties
The value obtained for the formation energy (no corrections) is 2.3 eV/f.u. The total DFT energy (no corrections) comes out at -104.7 eV for the cell shown.

```
data_InMo2F
_chemical_formula_sum 'In4 Mo8 F4'
_space_group_name_H-M_alt 'F m -3 m'
_space_group_IT_number 225
_space_group_name_Hall '-F 4 2 3'
_cell_length_a 6.2685
_cell_length_b 6.2685
_cell_length_c 6.2685
_cell_angle_alpha 90.00
_cell_angle_beta 90.00
_cell_angle_gamma 90.00
loop_
_atom_site_label
_atom_site_fract_x
_atom_site_fract_y
_atom_site_fract_z
In1 0.0000 0.0000 0.0000
Mo1 0.2500 0.2500 0.2500
F1 0.0000 0.0000 0.5000
```

=====

This record from Alexandria via LeMat-Bulk describes a geometry-optimized In2N2F structure. The functional is PBEsol.

## Properties
The value obtained for the formation energy (no corrections) is 1.0 eV/f.u. The total DFT energy (no corrections) comes out at -47.8 eV for the cell shown.

```
data_In2N2F
_chemical_formula_sum 'In4 N4 F2'
_space_group_name_H-M_alt 'I 4/m m m'
_space_group_IT_number 139
_space_group_name_Hall '-I 4 2'
_cell_length_a 3.5764
_cell_length_b 3.5764
_cell_length_c 10.8341
_cell_angle_alpha 90.00
_cell_angle_beta 90.00
_cell_angle_gamma 90.00
loop_
_atom_site_label
_atom_site_fract_x
_atom_site_fract_y
_atom_site_fract_z
In1 0.0000 0.0000 0.1275
N1 0.0000 0.5000 0.2500
F1 0.0000 0.0000 0.5000
```

=====

This record from Alexandria via LeMat-Bulk describes a geometry-optimized InNF2 structure. The functional is PBEsol.

## Properties
The value obtained for the formation energy (no corrections) is 0.4 eV/f.u. The total DFT energy (no corrections) comes out at -44.8 eV for the cell shown.

```
data_InNF2
_chemical_formula_sum 'In3 N3 F6'
_space_group_name_H-M_alt 'R -3 m'
_space_group_IT_number 166
_space_group_name_Hall '-R 3 2"'
_cell_length_a 3.6471
_cell_length_b 3.6471
_cell_length_c 20.1488
_cell_angle_alpha 90.00
_cell_angle_beta 90.00
_cell_angle_gamma 120.00
loop_
_atom_site_label
_atom_site_fract_x
_atom_site_fract_y
_atom_site_fract_z
In1 0.0000 0.0000 0.0000
N1 0.0000 0.0000 0.5000
F1 0.0000 0.0000 0.4129
```

=====

This record from Alexandria via LeMat-Bulk describes a geometry-optimized InPbN2F structure. The functional is PBEsol.

## Properties
The value obtained for the formation energy (no corrections) is 1.2 eV/f.u. The total DFT energy (no corrections) comes out at -24.8 eV for the cell shown.

```
data_InPbN2F
_chemical_formula_sum 'In1 Pb1 N2 F1'
_space_group_name_H-M_alt 'P 4/m m m'
_space_group_IT_number 123
_space_group_name_Hall '-P 4 2'
_cell_length_a 4.2463
_cell_length_b 4.2463
_cell_length_c 4.2604
_cell_angle_alpha 90.00
_cell_angle_beta 90.00
_cell_angle_gamma 90.00
loop_
_atom_site_label
_atom_site_fract_x
_atom_site_fract_y
_atom_site_fract_z
In1 0.0000 0.0000 0.0000
Pb1 0.5000 0.5000 0.5000
N1 0.0000 0.5000 0.0000
F1 0.0000 0.0000 0.5000
```

=====

This record from Alexandria via LeMat-Bulk describes a geometry-optimized InPtN2F structure. The functional is PBEsol.

## Properties
The value obtained for the formation energy (no corrections) is 6.1 eV/f.u. The total DFT energy (no corrections) comes out at -22.9 eV for the cell shown.

```
data_InPtN2F
_chemical_formula_sum 'In1 Pt1 N2 F1'
_space_group_name_H-M_alt 'P 4/m m m'
_space_group_IT_number 123
_space_group_name_Hall '-P 4 2'
_cell_length_a 4.1739
_cell_length_b 4.1739
_cell_length_c 3.9596
_cell_angle_alpha 90.00
_cell_angle_beta 90.00
_cell_angle_gamma 90.00
loop_
_atom_site_label
_atom_site_fract_x
_atom_site_fract_y
_atom_site_fract_z
In1 0.0000 0.0000 0.0000
Pt1 0.5000 0.5000 0.5000
N1 0.0000 0.5000 0.0000
F1 0.0000 0.0000 0.5000
```

=====

This record from Alexandria via LeMat-Bulk describes a geometry-optimized InS2NF structure. The functional is PBEsol.

## Properties
The value obtained for the formation energy (no corrections) is 5.5 eV/f.u. The total DFT energy (no corrections) comes out at -16.7 eV for the cell shown.

```
data_InS2NF
_chemical_formula_sum 'In1 S2 N1 F1'
_space_group_name_H-M_alt 'P 4/m m m'
_space_group_IT_number 123
_space_group_name_Hall '-P 4 2'
_cell_length_a 4.1902
_cell_length_b 4.1902
_cell_length_c 4.7650
_cell_angle_alpha 90.00
_cell_angle_beta 90.00
_cell_angle_gamma 90.00
loop_
_atom_site_label
_atom_site_fract_x
_atom_site_fract_y
_atom_site_fract_z
In1 0.0000 0.0000 0.0000
S1 0.0000 0.5000 0.5000
N1 0.5000 0.5000 0.0000
F1 0.5000 0.5000 0.5000
```

=====

This record from Alexandria via LeMat-Bulk describes a geometry-optimized InSeNF2 structure. The functional is PBEsol.

## Properties
The value obtained for the formation energy (no corrections) is -1.8 eV/f.u. The total DFT energy (no corrections) comes out at -21.0 eV for the cell shown.

```
data_InSeNF2
_chemical_formula_sum 'In1 Se1 N1 F2'
_space_group_name_H-M_alt 'P 4/m m m'
_space_group_IT_number 123
_space_group_name_Hall '-P 4 2'
_cell_length_a 4.0855
_cell_length_b 4.0855
_cell_length_c 4.4458
_cell_angle_alpha 90.00
_cell_angle_beta 90.00
_cell_angle_gamma 90.00
loop_
_atom_site_label
_atom_site_fract_x
_atom_site_fract_y
_atom_site_fract_z
In1 0.0000 0.0000 0.0000
Se1 0.5000 0.5000 0.5000
N1 0.0000 0.0000 0.5000
F1 0.0000 0.5000 0.0000
```

=====

This record from Alexandria via LeMat-Bulk describes a geometry-optimized InSeNF2 structure. The functional is PBEsol.

## Properties
The value obtained for the formation energy (no corrections) is -1.9 eV/f.u. The total DFT energy (no corrections) comes out at -21.2 eV for the cell shown.

```
data_InSeNF2
_chemical_formula_sum 'In1 Se1 N1 F2'
_space_group_name_H-M_alt 'P 4/m m m'
_space_group_IT_number 123
_space_group_name_Hall '-P 4 2'
_cell_length_a 4.5960
_cell_length_b 4.5960
_cell_length_c 3.6819
_cell_angle_alpha 90.00
_cell_angle_beta 90.00
_cell_angle_gamma 90.00
loop_
_atom_site_label
_atom_site_fract_x
_atom_site_fract_y
_atom_site_fract_z
In1 0.0000 0.0000 0.0000
Se1 0.5000 0.5000 0.5000
N1 0.5000 0.5000 0.0000
F1 0.0000 0.5000 0.5000
```

=====

This record from Alexandria via LeMat-Bulk describes a geometry-optimized TaInNF2 structure. The functional is PBEsol.

## Properties
The value obtained for the formation energy (no corrections) is -6.7 eV/f.u. The total DFT energy (no corrections) comes out at -34.6 eV for the cell shown.

```
data_TaInNF2
_chemical_formula_sum 'Ta1 In1 N1 F2'
_space_group_name_H-M_alt 'P 4/m m m'
_space_group_IT_number 123
_space_group_name_Hall '-P 4 2'
_cell_length_a 4.2313
_cell_length_b 4.2313
_cell_length_c 4.0149
_cell_angle_alpha 90.00
_cell_angle_beta 90.00
_cell_angle_gamma 90.00
loop_
_atom_site_label
_atom_site_fract_x
_atom_site_fract_y
_atom_site_fract_z
Ta1 0.0000 0.0000 0.0000
In1 0.5000 0.5000 0.5000
N1 0.0000 0.0000 0.5000
F1 0.0000 0.5000 0.0000
```

=====

This record from Alexandria via LeMat-Bulk describes a geometry-optimized InTeN2F structure. The functional is PBEsol.

## Properties
The value obtained for the formation energy (no corrections) is 2.1 eV/f.u. The total DFT energy (no corrections) comes out at -23.4 eV for the cell shown.

```
data_InTeN2F
_chemical_formula_sum 'In1 Te1 N2 F1'
_space_group_name_H-M_alt 'P 4/m m m'
_space_group_IT_number 123
_space_group_name_Hall '-P 4 2'
_cell_length_a 4.1034
_cell_length_b 4.1034
_cell_length_c 4.3709
_cell_angle_alpha 90.00
_cell_angle_beta 90.00
_cell_angle_gamma 90.00
loop_
_atom_site_label
_atom_site_fract_x
_atom_site_fract_y
_atom_site_fract_z
In1 0.0000 0.0000 0.0000
Te1 0.5000 0.5000 0.5000
N1 0.0000 0.5000 0.5000
F1 0.5000 0.5000 0.0000
```